Entry 1:
TlAs2Pb2 | Alexandria | PBE-GGA | relaxed; calculated total energy = -0.2718 Ry per atom; total moment = 0.0000 μB/atom; symmetry = I4/mmm (139); ΔE_f = 11.40 kJ/mol of atoms; energy relative to the lowest polymorph listed for this composition = 0.058 eV/atom
1.0
-1.922 1.922 9.460
1.922 -1.922 9.460
1.922 1.922 -9.460
Tl As Pb
1 2 2
Cartesian
0.000 0.000 0.000
1.922 0.000 4.730
0.000 1.922 4.730
0.000 0.000 7.330
0.000 0.000 11.590

Entry 2:
PaInTc4 | Alexandria | PBE-GGA | relaxed; calculated total energy = -0.6533 Ry per atom; total moment = 0.0000 μB/atom; symmetry = F-43m (216); ΔE_f = 5.87 kJ/mol of atoms
1.0
0.000 3.781 3.781
3.781 0.000 3.781
3.781 3.781 0.000
Pa In Tc
1 1 4
Cartesian
0.000 0.000 0.000
1.891 1.891 1.891
4.715 2.847 2.847
2.847 4.715 2.847
2.847 2.847 4.715
4.715 4.715 4.715

Look up the ΔE_f of the second one. 5.87 kJ/mol of atoms

Among the records above, which one has the highest calculated total energy? TlAs2Pb2

What did the second record say?
PaInTc4 | Alexandria | PBE-GGA | relaxed; calculated total energy = -0.6533 Ry per atom; total moment = 0.0000 μB/atom; symmetry = F-43m (216); ΔE_f = 5.87 kJ/mol of atoms
1.0
0.000 3.781 3.781
3.781 0.000 3.781
3.781 3.781 0.000
Pa In Tc
1 1 4
Cartesian
0.000 0.000 0.000
1.891 1.891 1.891
4.715 2.847 2.847
2.847 4.715 2.847
2.847 2.847 4.715
4.715 4.715 4.715